(1)
Below is a crystal of TaAlRu2 relaxed with PBEsol, with properties calculated at the SCAN level.

Output
energy of formation	-0.36	eV per atom
total moment	0.000	μB per atom

a b c (Å): 3.3010 3.3010 5.5300
angles (deg): 90.00 90.00 90.00
Fractional positions:
Ru 0.0000 0.0000 0.9452
Ru 0.5000 0.5000 0.2859
Al 0.5000 0.5000 0.7815
Ta 0.0000 0.0000 0.4874

=====

(2)
Below is a crystal of La3InOs relaxed with PBEsol, with properties calculated at the SCAN level.

Output
energy of formation	-0.38	eV per atom
total moment	0.000	μB per atom

a b c (Å): 5.4673 5.4673 5.4673
angles (deg): 90.00 90.00 90.00
Fractional positions:
In 0.5000 0.5000 0.5000
La 0.0000 0.0000 0.5000
La 0.5000 0.0000 0.0000
La 0.0000 0.5000 0.0000
Os 0.0000 0.0000 0.0000